No. 1
A plane-wave DFT calculation with PBE was carried out for a relaxed Ca2LaCd2 crystal.

Summary:
formation energy: 0.0376 eV/atom
size of the total moment: 0.00 μB per cell

Structure (extended XYZ):
```
5
Lattice="-2.2643 4.0403 0.0179 -3.6430 -2.0504 1.9940 0.0172 2.6284 8.1133" Properties=species:S:1:pos:R:3 pbc="T T T"
Ca -3.6072 3.2546 7.5146
Ca -2.2829 1.3637 2.6106
Cd -2.6004 3.8318 4.5686
Cd -3.2897 0.7865 5.5566
La 0.0000 0.0000 0.0000
```

No. 2
A plane-wave DFT calculation with PBE was carried out for a relaxed RbSi crystal.

Summary:
formation energy (no corrections): -30.4 meV per atom
size of the total moment: 0.00 μB per cell

Structure (extended XYZ):
```
32
Lattice="-0.2213 -11.8305 -1.2322 11.1793 -2.2305 3.4026 -7.8736 6.3054 6.3070" Properties=species:S:1:pos:R:3 pbc="T T T"
Si -0.3374 -7.6218 0.9203
Si -3.1654 -3.5355 4.5246
Si 6.2498 -4.2202 3.9528
Si 3.1531 2.0267 8.6580
Si 3.4217 -0.1339 7.5570
Si -1.5882 -2.1188 5.7394
Si -0.7646 -3.9005 4.2905
Si -1.8870 -4.4512 6.3898
Si 3.4938 1.9191 6.2408
Si -0.0688 -9.7823 -0.1806
Si 5.3273 1.3822 7.7581
Si -2.2429 -9.1379 0.7192
Si -0.4094 -9.6747 2.2365
Si 4.9713 -3.3045 2.0875
Si 4.6726 -5.6368 2.7380
Si 3.8489 -3.8552 4.1869
Rb 6.2882 -8.9374 3.2200
Rb 1.4952 -3.4553 7.2136
Rb 2.7788 -0.5625 0.9000
Rb -5.9778 -1.1542 4.1296
Rb 9.0621 -6.6015 4.3478
Rb 5.5426 -0.6927 4.6763
Rb 4.7514 -6.8141 6.1610
Rb 1.6135 -0.9154 4.4973
Rb -3.2038 1.1817 5.2573
Rb 3.0986 -8.8515 1.3062
Rb 1.5892 -4.3004 1.2637
Rb -0.0142 1.0958 7.1712
Rb -1.6670 -0.9416 2.3164
Rb -2.4582 -7.0630 3.8011
Rb 1.4709 -6.8403 3.9800
Rb 0.3056 -7.1932 7.5773
```

No. 3
A plane-wave DFT calculation with PBE was carried out for a relaxed NaScBr3 crystal.

Summary:
formation energy (no corrections): -1491.2 meV per atom
size of the total moment: 1.99 μB per cell

Structure (extended XYZ):
```
10
Lattice="-0.5129 3.4860 -1.7717 -8.3140 -3.2086 -3.9066 -2.1946 3.0497 6.6357" Properties=species:S:1:pos:R:3 pbc="T T T"
Na -4.3620 0.0598 -0.8145
Na -6.6594 3.2673 1.7718
Sc -8.1473 -0.7367 -1.2861
Sc -2.8742 4.0637 2.2434
Br -9.9389 -0.0277 0.6277
Br -1.0825 3.3547 0.3296
Br -5.9613 -1.2436 -2.9161
Br -6.9800 1.8481 -0.9278
Br -4.0414 1.4790 1.8851
Br -5.0601 4.5707 3.8734
```

No. 4
A plane-wave DFT calculation with PBE was carried out for a relaxed Y2MnRu crystal.

Summary:
formation energy: -0.0900 eV/atom
size of the total moment: 3.32 μB per cell

Structure (extended XYZ):
```
4
Lattice="3.9079 0.0000 0.0000 0.0000 4.2700 0.0050 0.0000 2.1277 5.4017" Properties=species:S:1:pos:R:3 pbc="T T T"
Ru 1.9539 3.9970 4.1475
Mn 0.0000 4.0002 2.6838
Y 1.9539 1.8651 1.7968
Y 0.0000 6.1322 4.8888
```

No. 5
A plane-wave DFT calculation with PBE was carried out for a relaxed VNi3Rh7 crystal.

Summary:
formation energy: 0.2419 eV/atom
size of the total moment: 0.06 μB per cell

Structure (extended XYZ):
```
11
Lattice="4.4762 -0.0593 -0.0760 -2.1597 5.9388 0.3782 -2.1597 -1.0728 5.8533" Properties=species:S:1:pos:R:3 pbc="T T T"
Rh -2.1597 2.4330 3.1158
Rh 0.0310 0.9139 1.1703
Rh 0.0510 3.5179 0.4662
Rh 0.0510 -0.4005 3.5260
Rh 0.1058 1.2887 5.6894
Rh 0.1058 5.2072 2.6296
Rh 0.1258 3.8928 4.9853
Ni 2.2381 -0.0297 -0.0380
Ni -2.1597 0.5024 4.6233
Ni -2.1597 4.3636 1.6083
V 0.0784 2.4033 3.0778
```

No. 6
A plane-wave DFT calculation with PBE was carried out for a relaxed Pr2SmDy2 crystal.

Summary:
formation energy: 0.2723 eV/atom
size of the total moment: 0.00 μB per cell

Structure (extended XYZ):
```
10
Lattice="9.2447 0.8057 0.2685 -1.1322 9.2104 0.2685 -3.2195 -3.9750 3.8780" Properties=species:S:1:pos:R:3 pbc="T T T"
Pr 0.1537 1.5146 2.3564
Pr 4.7393 4.5265 2.0586
Pr 3.0594 2.4525 0.4174
Pr 1.8336 3.5887 3.9975
Sm 6.1041 -1.5875 3.1770
Sm -1.2111 7.6287 1.2380
Dy 1.3768 5.5326 1.2380
Dy 6.3898 1.4723 1.2380
Dy -1.4968 4.5688 3.1770
Dy 3.5162 0.5086 3.1770
```

No. 7
A plane-wave DFT calculation with PBE was carried out for a relaxed Ho2SnAu crystal.

Summary:
formation energy: -0.7304 eV/atom
size of the total moment: 0.00 μB per cell

Structure (extended XYZ):
```
4
Lattice="3.5262 0.0000 0.0000 0.0000 3.5262 0.0000 0.0000 0.0000 7.9026" Properties=species:S:1:pos:R:3 pbc="T T T"
Ho 0.0000 0.0000 6.0611
Ho 0.0000 0.0000 1.8415
Au 1.7631 1.7631 0.0000
Sn 1.7631 1.7631 3.9513
```

No. 8
A plane-wave DFT calculation with PBE was carried out for a relaxed TlSnHgSe crystal.

Summary:
formation energy (no corrections): -44.7 meV per atom
size of the total moment: 0.00 μB per cell

Structure (extended XYZ):
```
4
Lattice="-3.0604 -0.4339 4.3886 2.1416 -1.7405 4.6042 0.6844 3.4008 4.0964" Properties=species:S:1:pos:R:3 pbc="T T T"
Tl -0.1757 0.9198 9.8169
Sn -0.0586 0.3066 3.2723
Hg -0.1172 0.6132 6.5446
Se 0.0000 0.0000 0.0000
```

No. 9
A plane-wave DFT calculation with PBE was carried out for a relaxed BaCdReO6 crystal.

Summary:
formation energy (no corrections): -1611.6 meV per atom
size of the total moment: 1.08 μB per cell

Structure (extended XYZ):
```
9
Lattice="5.6647 0.0521 -0.0407 2.8782 4.9855 -0.0788 -0.0349 -0.0644 5.4562" Properties=species:S:1:pos:R:3 pbc="T T T"
O 3.7342 2.9914 1.6670
O 3.4600 0.3166 1.5016
O 2.1141 0.1936 3.7092
O 4.3018 1.7588 3.8706
O 1.3013 1.8736 1.5870
O 1.8742 2.8609 3.7883
Cd 5.6916 3.3190 2.6500
Ba 2.9797 4.9266 -0.0752
Re 2.9091 1.6009 2.6886
```

No. 10
A plane-wave DFT calculation with PBE was carried out for a relaxed LiFe2Sb crystal.

Summary:
formation energy (no corrections): 272.8 meV per atom
size of the total moment: 5.05 μB per cell

Structure (extended XYZ):
```
4
Lattice="2.8819 0.0000 0.0000 0.0000 3.9329 0.0000 0.0000 0.0000 5.3247" Properties=species:S:1:pos:R:3 pbc="T T T"
Li 1.4410 1.9665 1.3312
Fe 0.0000 0.0000 2.5873
Fe 0.0000 0.0000 0.0751
Sb 1.4410 1.9665 3.9935
```

No. 11
A plane-wave DFT calculation with PBE was carried out for a relaxed Li2ScBi2 crystal.

Summary:
formation energy: -0.3723 eV/atom
size of the total moment: 0.00 μB per cell

Structure (extended XYZ):
```
5
Lattice="3.8526 0.0000 0.0000 0.0000 3.8526 0.0000 1.9263 1.9263 7.9040" Properties=species:S:1:pos:R:3 pbc="T T T"
Bi 3.8526 3.8526 6.1496
Bi 1.9263 1.9263 1.7544
Li 3.8526 1.9263 3.9520
Li 1.9263 3.8526 3.9520
Sc 0.0000 0.0000 0.0000
```

No. 12
A plane-wave DFT calculation with PBE was carried out for a relaxed LiTmPd crystal.

Summary:
formation energy: -0.6293 eV/atom
size of the total moment: 0.00 μB per cell

Structure (extended XYZ):
```
6
Lattice="3.9764 0.0000 0.0000 0.0000 3.9764 0.0000 0.0000 0.0000 7.5450" Properties=species:S:1:pos:R:3 pbc="T T T"
Li 0.0000 0.0000 3.7725
Li 1.9882 1.9882 3.7725
Tm 0.0000 1.9882 6.4166
Tm 1.9882 0.0000 1.1283
Pd 1.9882 0.0000 5.7539
Pd 0.0000 1.9882 1.7911
```

No. 13
A plane-wave DFT calculation with PBE was carried out for a relaxed YSi2I crystal.

Summary:
formation energy (no corrections): 476.9 meV per atom
size of the total moment: 0.00 μB per cell

Structure (extended XYZ):
```
4
Lattice="0.0000 3.6266 3.6266 3.6266 0.0000 3.6266 3.6266 3.6266 0.0000" Properties=species:S:1:pos:R:3 pbc="T T T"
Y 0.0000 0.0000 0.0000
Si 1.8133 1.8133 1.8133
Si 5.4399 5.4399 5.4399
I 3.6266 3.6266 3.6266
```

No. 14
A plane-wave DFT calculation with PBE was carried out for a relaxed MnAlZnTc crystal.

Summary:
formation energy: -0.0571 eV/atom
size of the total moment: 0.00 μB per cell

Structure (extended XYZ):
```
4
Lattice="-3.1646 -1.3037 -2.4499 0.0133 -3.9130 -1.5507 -2.7449 -2.8454 1.4441" Properties=species:S:1:pos:R:3 pbc="T T T"
Al 0.0000 0.0000 0.0000
Tc -1.4741 -2.0155 -0.6391
Mn -2.9481 -4.0310 -1.2783
Zn -4.4222 -6.0466 -1.9174
```

No. 15
A plane-wave DFT calculation with PBE was carried out for a relaxed LiTiCl3 crystal.

Summary:
formation energy (no corrections): -1429.6 meV per atom
size of the total moment: 1.44 μB per cell

Structure (extended XYZ):
```
10
Lattice="4.2540 0.0000 0.0000 0.0000 6.7208 0.0000 0.0000 -3.3604 8.2018" Properties=species:S:1:pos:R:3 pbc="T T T"
Cl 3.1905 0.3046 4.5733
Cl 3.1905 2.7385 1.1818
Cl 3.1905 2.8824 6.7932
Cl 1.0635 3.6650 3.6285
Cl 1.0635 -0.4780 1.4086
Cl 1.0635 -0.6219 7.0200
Ti 3.1905 0.6044 7.2263
Ti 1.0635 3.9648 0.9754
Li 1.0635 -0.6215 3.7544
Li 3.1905 2.7389 4.4474
```

No. 16
A plane-wave DFT calculation with PBE was carried out for a relaxed V2GaOs crystal.

Summary:
formation energy: -0.1203 eV/atom
size of the total moment: 1.38 μB per cell

Structure (extended XYZ):
```
4
Lattice="3.1332 0.0000 0.0000 0.0000 3.1332 0.0000 0.0000 0.0000 5.6770" Properties=species:S:1:pos:R:3 pbc="T T T"
Ga 1.5666 1.5666 0.0000
V 0.0000 0.0000 4.2679
V 0.0000 0.0000 1.4091
Os 1.5666 1.5666 2.8385
```

No. 17
A plane-wave DFT calculation with PBE was carried out for a relaxed La3Pr3Dy2 crystal.

Summary:
formation energy: 0.0186 eV/atom
size of the total moment: 0.00 μB per cell

Structure (extended XYZ):
```
8
Lattice="-3.9681 -2.2909 2.4960 0.6418 -4.2896 -2.9168 8.2683 -0.4978 7.2344" Properties=species:S:1:pos:R:3 pbc="T T T"
Pr 0.3209 -2.1448 -1.4584
Pr 1.7011 -0.9756 1.8090
Pr 3.2408 -6.1027 5.0046
Dy 1.3113 -3.0354 4.7524
Dy 3.6306 -4.0429 2.0612
La 0.0223 -4.2568 1.5819
La 4.9196 -2.8214 5.2317
La -1.9841 -1.1455 1.2480
```

No. 18
A plane-wave DFT calculation with PBE was carried out for a relaxed Ba6Hg3O crystal.

Summary:
formation energy (no corrections): -774.8 meV per atom
size of the total moment: 0.00 μB per cell

Structure (extended XYZ):
```
20
Lattice="-3.8519 6.3736 -2.5719 -6.0039 0.0015 8.9959 8.4140 6.2039 2.7727" Properties=species:S:1:pos:R:3 pbc="T T T"
Ba 0.4078 5.2066 7.5781
Ba 2.3810 9.3484 2.3501
Ba -3.5512 2.7811 7.0279
Ba 3.4898 4.7204 2.2015
Ba -4.3685 6.9268 7.3712
Ba -0.6092 8.7844 5.8998
Ba -7.4960 4.2879 7.0413
Ba -1.4283 6.6753 1.8999
Ba -5.1014 5.0398 3.7925
Ba 7.1044 6.5535 2.8565
Ba 4.2227 6.6073 5.7802
Ba -0.4113 3.0975 3.5782
Hg -2.9385 3.4766 1.2731
Hg 1.0696 6.2819 4.2357
Hg -3.6912 8.2492 4.1733
Hg -1.9587 7.9134 -1.2670
Hg -0.3258 12.1179 6.7067
Hg -1.3055 7.6811 9.2468
O 5.2707 5.1427 3.9760
O -5.0657 4.7114 6.3202
```

No. 19
A plane-wave DFT calculation with PBE was carried out for a relaxed ZrSnI2O crystal.

Summary:
formation energy (no corrections): 28.1 meV per atom
size of the total moment: 2.52 μB per cell

Structure (extended XYZ):
```
5
Lattice="-3.7126 2.9164 3.9084 -3.0298 -5.2285 1.0234 2.4937 -0.8563 3.0077" Properties=species:S:1:pos:R:3 pbc="T T T"
I -1.5149 -2.6143 0.5117
I -1.8563 1.4582 1.9542
O 1.2468 -0.4282 1.5039
Sn 0.0000 0.0000 0.0000
Zr -2.1244 -1.5842 3.9698
```

No. 20
A plane-wave DFT calculation with PBE was carried out for a relaxed Cs2RbZnGe2 crystal.

Summary:
formation energy: 0.0035 eV/atom
size of the total moment: 0.00 μB per cell

Structure (extended XYZ):
```
12
Lattice="8.7403 0.0000 0.0053 0.0000 4.2442 0.0000 -1.0460 0.0000 13.7985" Properties=species:S:1:pos:R:3 pbc="T T T"
Cs 6.9424 2.1221 10.1829
Cs 1.4855 2.1221 0.1395
Cs 7.4654 0.0000 3.2837
Cs 0.9625 0.0000 7.0387
Rb 4.1200 0.0000 13.3088
Rb 4.6430 2.1221 6.4095
Ge 1.7150 2.1221 3.9020
Ge 2.7049 2.1221 10.6561
Ge 1.1920 0.0000 10.8012
Ge 3.2279 0.0000 3.7568
Zn 4.3202 2.1221 2.4479
Zn 3.7972 0.0000 9.3472
```

No. 21
A plane-wave DFT calculation with PBE was carried out for a relaxed NaNb3P crystal.

Summary:
formation energy: 0.4739 eV/atom
size of the total moment: 0.00 μB per cell

Structure (extended XYZ):
```
5
Lattice="4.7229 0.0000 0.0000 0.0000 4.7229 0.0000 0.0000 0.0000 4.7229" Properties=species:S:1:pos:R:3 pbc="T T T"
Nb 2.3615 0.0000 0.0000
Nb 0.0000 0.0000 2.3615
Nb 0.0000 2.3615 0.0000
Na 2.3615 2.3615 2.3615
P 0.0000 0.0000 0.0000
```

No. 22
A plane-wave DFT calculation with PBE was carried out for a relaxed Pm2NiAg3 crystal.

Summary:
formation energy: -0.2282 eV/atom
size of the total moment: 0.00 μB per cell

Structure (extended XYZ):
```
6
Lattice="3.6587 0.0000 0.0000 0.0000 4.7013 0.0000 0.0000 0.0000 7.9107" Properties=species:S:1:pos:R:3 pbc="T T T"
Ag 1.8293 0.0000 1.3922
Ag 1.8293 0.0000 6.5800
Ag 1.8293 2.3507 5.1682
Ni 1.8293 2.3507 2.5543
Pm 0.0000 2.3507 0.2587
Pm 0.0000 0.0000 3.8234
```

No. 23
A plane-wave DFT calculation with PBE was carried out for a relaxed Ni2OsAu crystal.

Summary:
formation energy: 0.3022 eV/atom
size of the total moment: 0.00 μB per cell

Structure (extended XYZ):
```
4
Lattice="4.4561 -0.0011 -0.0054 3.6505 2.5554 -0.0054 0.6915 0.2179 4.8367" Properties=species:S:1:pos:R:3 pbc="T T T"
Ni 4.3782 1.3795 2.5760
Ni 0.7124 0.2245 4.6737
Os 6.5986 2.0792 3.6195
Au 2.1995 0.6931 1.2065
```

No. 24
A plane-wave DFT calculation with PBE was carried out for a relaxed RbZrF5 crystal.

Summary:
formation energy (no corrections): -3489.1 meV per atom
size of the total moment: 0.00 μB per cell

Structure (extended XYZ):
```
7
Lattice="3.9429 0.0000 1.5960 1.3539 5.9716 2.3236 -0.3440 -0.5320 6.5185" Properties=species:S:1:pos:R:3 pbc="T T T"
F 2.9259 4.3818 4.1534
F 3.1133 1.5764 3.7042
F 0.5222 2.7198 4.4281
F 1.8803 3.8632 6.7504
F 2.0581 1.0577 6.2974
Zr 2.4932 2.7198 5.2259
Rb 0.0149 0.0000 0.0060
```